Here is Pr2Ge3Pd4Au after structural relaxation from Alexandria. Energies are from PBE-GGA.

Values from the calculation:
calculated volume = 19.97 Å³/atom
energy of formation = -0.745 eV/atom
size of the total moment = 0.00 μB per formula unit
DFT total energy = -0.40361 Ry per atom
calculated density = 9.334 g/cm³

Unit cell a=4.369 b=4.369 c=10.460 alpha=90.00 beta=90.00 gamma=90.00
Fractional coordinates of all 10 atoms:
Pr  0.500  0.000  0.255
Ge  0.500  0.000  0.878
Pd  0.000  0.500  0.354
Ge  0.000  0.500  0.122
Au  0.500  0.500  0.500
Pd  0.500  0.000  0.646
Pr  0.000  0.500  0.745
Ge  0.000  0.000  0.500
Pd  0.000  0.000  0.000
Pd  0.500  0.500  0.000



Here is TaPbI2O after structural relaxation from Alexandria. Energies are from PBE-GGA.

Values from the calculation:
calculated volume = 27.18 Å³/atom
size of the total moment = 0.78 μB per formula unit
uncorrected formation energy = -515 meV/atom
DFT total energy = -0.38505 Ry per atom
calculated density = 8.040 g/cm³

Unit cell a=5.898 b=5.898 c=3.906 alpha=90.00 beta=90.00 gamma=90.00
Last column: magnetic moment on the atom in μB.
Fractional coordinates of all 5 atoms:
Pb  0.500  0.500  0.500  -0.07
O  0.000  0.000  0.500  -0.04
Ta  0.000  0.000  0.000  0.72
I  0.000  0.500  0.000  0.00
I  0.500  0.000  0.000  0.00



Here is KTb2PuO6 after structural relaxation from Alexandria. Energies are from PBE-GGA.

Values from the calculation:
calculated volume = 16.16 Å³/atom
size of the total moment = 3.00 μB per formula unit
uncorrected formation energy = -2969 meV/atom
DFT total energy = -0.61832 Ry per atom
calculated density = 7.161 g/cm³

Unit cell a=5.961 b=5.961 c=6.279 alpha=61.66 beta=61.67 gamma=60.00
Last column: magnetic moment on the atom in μB.
Fractional coordinates of all 10 atoms:
O  0.188  0.342  0.765  -0.07
O  0.705  0.188  0.765  -0.07
Tb  0.011  0.011  0.967  0.01
O  0.257  0.930  0.219  -0.05
Pu  0.322  0.322  0.035  3.37
Tb  0.528  0.528  0.417  0.01
O  0.342  0.705  0.765  -0.07
K  0.785  0.785  0.644  0.00
O  0.594  0.257  0.219  -0.05
O  0.930  0.594  0.219  -0.05



Here is AcCu4Pb after structural relaxation from Alexandria. Energies are from PBE-GGA.

Values from the calculation:
calculated volume = 18.99 Å³/atom
energy of formation = -0.026 eV/atom
size of the total moment = 0.00 μB per formula unit
DFT total energy = -0.29840 Ry per atom
calculated density = 10.032 g/cm³

Unit cell a=5.442 b=5.442 c=5.442 alpha=60.00 beta=60.00 gamma=60.00
Fractional coordinates of all 6 atoms:
Ac  0.250  0.250  0.250
Cu  0.626  0.626  0.121
Cu  0.121  0.626  0.626
Cu  0.626  0.626  0.626
Pb  0.000  0.000  0.000
Cu  0.626  0.121  0.626



Here is Cs4Au2O after structural relaxation from Alexandria. Energies are from PBE-GGA.

Values from the calculation:
calculated volume = 45.90 Å³/atom
size of the total moment = 0.00 μB per formula unit
uncorrected formation energy = -604 meV/atom
DFT total energy = -0.20111 Ry per atom
calculated density = 4.866 g/cm³

Unit cell a=5.935 b=5.935 c=10.040 alpha=107.19 beta=107.19 gamma=90.00
Fractional coordinates of all 7 atoms:
Cs  0.847  0.847  0.693
Au  0.639  0.639  0.278
Cs  0.153  0.153  0.307
O  0.000  0.000  0.000
Cs  0.500  0.000  0.000
Au  0.361  0.361  0.722
Cs  0.000  0.500  0.000



Here is ZnNi2Bi2 after structural relaxation from Alexandria. Energies are from PBE-GGA.

Values from the calculation:
calculated volume = 18.94 Å³/atom
energy of formation = 0.121 eV/atom
size of the total moment = 0.00 μB per formula unit
DFT total energy = -0.29393 Ry per atom
calculated density = 10.533 g/cm³

Unit cell a=6.899 b=6.899 c=3.979 alpha=90.00 beta=90.00 gamma=90.00
Fractional coordinates of all 10 atoms:
Ni  0.866  0.634  0.000
Bi  0.670  0.830  0.500
Bi  0.330  0.170  0.500
Zn  0.500  0.500  0.000
Ni  0.134  0.366  0.000
Ni  0.366  0.866  0.000
Bi  0.830  0.330  0.500
Ni  0.634  0.134  0.000
Bi  0.170  0.670  0.500
Zn  0.000  0.000  0.000